Here is Rb2HfI2Cl4 after structural relaxation from the Alexandria database. Energies are from GGA-PBE.

Lattice parameters (Å, degrees): 7.7407 7.7407 11.1188 90.00 90.00 90.00
Space group I4/mmm (No. 139)
Inequivalent atoms, fractional coordinates:
Rb 0.0000 0.5000 0.2500 [4 per cell]
Hf 0.0000 0.0000 0.0000 [2 per cell]
I 0.0000 0.0000 0.2602 [4 per cell]
Cl 0.2236 0.2236 0.0000 [8 per cell]

Summary:
The calculated density is 3.714 g/cm3. The crystal system is tetragonal. The density of states at the Fermi level is 0.00 states/eV/atom. The formation energy from raw total energies comes out at -1717 meV per atom.

=====

Here is Rb2HfI5Cl after structural relaxation from the Alexandria database. Energies are from GGA-PBE.

Lattice parameters (Å, degrees): 8.4069 8.4069 11.2442 90.00 90.00 90.00
Space group I4mm (No. 107)
Inequivalent atoms, fractional coordinates:
Rb 0.0000 0.5000 0.0000 [4 per cell]
Hf 0.0000 0.0000 0.2450 [2 per cell]
I 0.0000 0.0000 0.4996 [2 per cell]
I 0.2416 0.2416 0.2502 [8 per cell]
Cl 0.0000 0.0000 0.0309 [2 per cell]

Summary:
The calculated density is 4.260 g/cm3. The crystal system is tetragonal. The density of states at the Fermi level is 0.00 states/eV/atom. The formation energy from raw total energies comes out at -1322 meV per atom.

=====

Here is HfSICl2 after structural relaxation from the Alexandria database. Energies are from GGA-PBE.

Lattice parameters (Å, degrees): 5.3730 5.3730 5.3796 90.00 90.00 90.00
Space group P4/mmm (No. 123)
Inequivalent atoms, fractional coordinates:
Hf 0.0000 0.0000 0.0000 [1 per cell]
S 0.5000 0.5000 0.0000 [1 per cell]
I 0.5000 0.5000 0.5000 [1 per cell]
Cl 0.0000 0.5000 0.5000 [2 per cell]

Summary:
The calculated density is 4.366 g/cm3. The crystal system is tetragonal. The density of states at the Fermi level is 1.28 states/eV/atom. Its energy above the most stable polymorph in this dataset is 1.797 eV per atom. The formation energy from raw total energies comes out at 948 meV per atom.

=====

Here is HfSICl2 after structural relaxation from the Alexandria database. Energies are from GGA-PBE.

Lattice parameters (Å, degrees): 5.0361 5.0361 5.0468 90.00 90.00 90.00
Space group P4/mmm (No. 123)
Inequivalent atoms, fractional coordinates:
Hf 0.0000 0.0000 0.0000 [1 per cell]
S 0.0000 0.0000 0.5000 [1 per cell]
I 0.5000 0.5000 0.5000 [1 per cell]
Cl 0.0000 0.5000 0.0000 [2 per cell]

Summary:
The calculated density is 5.298 g/cm3. The crystal system is tetragonal. The density of states at the Fermi level is 1.03 states/eV/atom. Its energy above the most stable polymorph in this dataset is 0.000 eV per atom. The formation energy from raw total energies comes out at -850 meV per atom.

=====

Here is HfSbI2Cl after structural relaxation from the Alexandria database. Energies are from GGA-PBE.

Lattice parameters (Å, degrees): 5.5434 5.5434 5.7208 90.00 90.00 90.00
Space group P4/mmm (No. 123)
Inequivalent atoms, fractional coordinates:
Hf 0.0000 0.0000 0.0000 [1 per cell]
Sb 0.0000 0.0000 0.5000 [1 per cell]
I 0.0000 0.5000 0.0000 [2 per cell]
Cl 0.5000 0.5000 0.5000 [1 per cell]

Summary:
The calculated density is 5.568 g/cm3. The crystal system is tetragonal. The density of states at the Fermi level is 0.69 states/eV/atom. Its energy above the most stable polymorph in this dataset is 0.000 eV per atom. The formation energy from raw total energies comes out at -177 meV per atom.

=====

Here is HfSbI2Cl after structural relaxation from the Alexandria database. Energies are from GGA-PBE.

Lattice parameters (Å, degrees): 5.7416 5.7416 5.1356 90.00 90.00 90.00
Space group P4/mmm (No. 123)
Inequivalent atoms, fractional coordinates:
Hf 0.0000 0.0000 0.0000 [1 per cell]
Sb 0.5000 0.5000 0.0000 [1 per cell]
I 0.0000 0.5000 0.5000 [2 per cell]
Cl 0.5000 0.5000 0.5000 [1 per cell]

Summary:
The calculated density is 5.782 g/cm3. The crystal system is tetragonal. The density of states at the Fermi level is 1.26 states/eV/atom. Its energy above the most stable polymorph in this dataset is 1.160 eV per atom. The formation energy from raw total energies comes out at 983 meV per atom.

=====

Here is HfSi2ICl after structural relaxation from the Alexandria database. Energies are from GGA-PBE.

Lattice parameters (Å, degrees): 5.2149 5.2149 5.0211 90.00 90.00 90.00
Space group P4/mmm (No. 123)
Inequivalent atoms, fractional coordinates:
Hf 0.0000 0.0000 0.0000 [1 per cell]
Si 0.0000 0.5000 0.5000 [2 per cell]
I 0.5000 0.5000 0.5000 [1 per cell]
Cl 0.5000 0.5000 0.0000 [1 per cell]

Summary:
The calculated density is 4.828 g/cm3. The crystal system is tetragonal. The density of states at the Fermi level is 0.62 states/eV/atom. The formation energy from raw total energies comes out at 1448 meV per atom.

=====

Here is HfTe2ICl after structural relaxation from the Alexandria database. Energies are from GGA-PBE.

Lattice parameters (Å, degrees): 5.4544 5.4544 5.2196 90.00 90.00 90.00
Space group P4/mmm (No. 123)
Inequivalent atoms, fractional coordinates:
Hf 0.0000 0.0000 0.0000 [1 per cell]
Te 0.0000 0.5000 0.5000 [2 per cell]
I 0.5000 0.5000 0.0000 [1 per cell]
Cl 0.5000 0.5000 0.5000 [1 per cell]

Summary:
The calculated density is 6.374 g/cm3. The crystal system is tetragonal. The density of states at the Fermi level is 0.89 states/eV/atom. Its energy above the most stable polymorph in this dataset is 1.092 eV per atom. The formation energy from raw total energies comes out at 884 meV per atom.

=====

Here is HfTe2ICl after structural relaxation from the Alexandria database. Energies are from GGA-PBE.

Lattice parameters (Å, degrees): 5.5510 5.5510 5.6228 90.00 90.00 90.00
Space group P4/mmm (No. 123)
Inequivalent atoms, fractional coordinates:
Hf 0.0000 0.0000 0.0000 [1 per cell]
Te 0.0000 0.5000 0.0000 [2 per cell]
I 0.0000 0.0000 0.5000 [1 per cell]
Cl 0.5000 0.5000 0.5000 [1 per cell]

Summary:
The calculated density is 5.713 g/cm3. The crystal system is tetragonal. The density of states at the Fermi level is 1.55 states/eV/atom. Its energy above the most stable polymorph in this dataset is 0.000 eV per atom. The formation energy from raw total energies comes out at -207 meV per atom.

=====

Here is HfTi2ICl after structural relaxation from the Alexandria database. Energies are from GGA-PBE.

Lattice parameters (Å, degrees): 5.2630 5.2630 4.8489 90.00 90.00 90.00
Space group P4/mmm (No. 123)
Inequivalent atoms, fractional coordinates:
Hf 0.0000 0.0000 0.0000 [1 per cell]
Ti 0.0000 0.5000 0.0000 [2 per cell]
I 0.5000 0.5000 0.5000 [1 per cell]
Cl 0.0000 0.0000 0.5000 [1 per cell]

Summary:
The calculated density is 5.398 g/cm3. The crystal system is tetragonal. The density of states at the Fermi level is 1.50 states/eV/atom. The formation energy from raw total energies comes out at 605 meV per atom.

=====

Here is Y2HfICl after structural relaxation from the Alexandria database. Energies are from GGA-PBE.

Lattice parameters (Å, degrees): 5.7878 5.7878 4.9537 90.00 90.00 90.00
Space group P4/mmm (No. 123)
Inequivalent atoms, fractional coordinates:
Y 0.0000 0.5000 0.0000 [2 per cell]
Hf 0.0000 0.0000 0.0000 [1 per cell]
I 0.5000 0.5000 0.5000 [1 per cell]
Cl 0.0000 0.0000 0.5000 [1 per cell]

Summary:
The calculated density is 5.190 g/cm3. The crystal system is tetragonal. The density of states at the Fermi level is 0.98 states/eV/atom. The formation energy from raw total energies comes out at 54 meV per atom.

=====

Here is Hf2InCl after structural relaxation from the Alexandria database. Energies are from GGA-PBE.

Lattice parameters (Å, degrees): 6.9322 6.9322 6.9322 90.00 90.00 90.00
Space group Fm-3m (No. 225)
Inequivalent atoms, fractional coordinates:
Hf 0.2500 0.2500 0.2500 [8 per cell]
In 0.0000 0.0000 0.0000 [4 per cell]
Cl 0.0000 0.0000 0.5000 [4 per cell]

Summary:
The calculated density is 10.114 g/cm3. The crystal system is cubic. The density of states at the Fermi level is 1.17 states/eV/atom. Its energy above the most stable polymorph in this dataset is 0.000 eV per atom. The formation energy from raw total energies comes out at -3 meV per atom.

=====

- Look up the formation energy from raw total energies of the second one.
  -1322 meV per atom

=====

- Which value of formation energy from raw total energies does entry 5 give?
  -177 meV per atom

=====

- Which of these has the highest calculated density?
  Hf2InCl